Entry 1:
VASP calculation (GGA-PBE) on an optimized crystal structure of PrPa2BeN5.

Geometry as extended XYZ:
```
18
Lattice="-2.477 -2.059 0.837 2.635 -3.447 -7.299 5.767 -5.109 4.495" Properties=species:S:1:pos:R:3 pbc="T T T"
Pa 4.190 -4.297 1.829
Be 4.433 -6.351 4.109
Pa 1.971 -2.380 -0.021
N 0.397 -3.621 -1.119
N 1.144 -3.399 -4.979
N 0.443 -2.560 1.630
N 0.335 -0.503 -0.246
Pa 4.467 -8.690 -1.547
N 4.930 -6.464 -1.316
Pa 0.962 -5.634 -4.399
N 3.199 -7.994 -3.585
Pr 2.390 -6.072 -1.252
Be 3.929 -6.423 -4.177
N 5.927 -8.450 -3.250
N 2.128 -4.865 0.943
N 4.034 -6.647 2.200
Pr 6.332 -7.020 1.464
N 2.970 -4.924 -3.327
```

Summary:
* SG: Cmc2_1, No. 36



Entry 2:
VASP calculation (GGA-PBE) on an optimized crystal structure of PrPaBeN3.

Geometry as extended XYZ:
```
12
Lattice="-1.658 -1.469 2.593 5.443 1.812 4.507 -4.076 5.667 0.604" Properties=species:S:1:pos:R:3 pbc="T T T"
Pr -0.345 1.124 1.538
Be 2.165 2.869 6.374
N 0.502 0.442 3.935
Pa 2.391 1.899 3.726
N -2.486 2.076 2.951
N 2.194 3.933 4.753
N 2.883 1.370 5.984
N -3.175 4.639 1.719
Pr 0.053 4.885 6.165
Be -2.457 3.140 1.329
Pa -2.683 4.110 3.977
N -0.793 5.567 3.768
```

Summary:
* SG: P2_1/m, No. 11
* DOS at the Fermi energy: 2.29 states/eV/f.u.



Entry 3:
VASP calculation (GGA-PBE) on an optimized crystal structure of Pa2BeSbN5.

Geometry as extended XYZ:
```
18
Lattice="3.499 0.000 0.000 -1.749 6.335 0.000 0.000 0.000 10.817" Properties=species:S:1:pos:R:3 pbc="T T T"
N 0.000 4.158 0.256
Sb 0.000 2.037 0.521
N 1.749 0.118 7.916
N 0.000 3.231 8.130
Pa 1.749 4.165 9.130
N 1.749 1.997 10.158
Be 1.749 0.400 9.616
N 1.749 6.125 10.272
Be 0.000 5.935 4.207
Pa 0.000 2.170 3.721
N 0.000 0.210 4.864
N 0.000 6.217 2.507
N 0.000 4.338 4.749
N 1.749 3.104 2.721
Sb 1.749 4.298 5.930
N 1.749 2.176 5.665
Pa 0.000 1.136 7.001
Pa 1.749 5.199 1.592
```

Summary:
* SG: Cmc2_1, No. 36



Entry 4:
VASP calculation (GGA-PBE) on an optimized crystal structure of ScPa2BeN5.

Geometry as extended XYZ:
```
18
Lattice="3.296 0.000 0.000 -1.648 6.553 0.000 0.000 0.000 9.866" Properties=species:S:1:pos:R:3 pbc="T T T"
N 1.648 2.621 1.528
Be 1.648 0.068 4.790
N 1.648 6.210 5.424
N 0.000 4.659 0.147
Pa 0.000 1.631 6.721
Be 0.000 6.485 9.723
N 1.648 1.894 5.080
Pa 1.648 4.877 7.894
Sc 0.000 2.457 9.844
N 0.000 3.932 6.461
N 0.000 3.981 3.343
N 0.000 6.427 7.904
Pa 1.648 4.922 1.788
N 0.000 0.343 0.491
N 1.648 0.126 2.970
Pa 0.000 1.676 2.961
Sc 1.648 4.096 4.911
N 1.648 2.572 8.276
```

Summary:
* SG: Cmc2_1, No. 36
* DOS at the Fermi energy: 0.50 states/eV/f.u.



Entry 5:
VASP calculation (GGA-PBE) on an optimized crystal structure of ScPaBeN3.

Geometry as extended XYZ:
```
12
Lattice="-2.886 0.664 1.157 -2.162 -6.258 -1.801 2.265 -0.997 6.222" Properties=species:S:1:pos:R:3 pbc="T T T"
N -0.092 -4.298 4.421
N 0.987 -1.397 5.446
N -3.770 -5.194 0.132
N -1.368 -1.052 3.744
Pa -2.147 -5.396 4.294
N -1.415 -5.539 1.835
Sc -1.034 -2.482 5.399
Be 0.454 -0.951 3.861
N -2.691 -2.292 1.158
Pa -0.636 -1.195 1.284
Be -3.237 -5.640 1.717
Sc -1.749 -4.108 0.180
```

Summary:
* SG: P2_1/m, No. 11
* DOS at the Fermi energy: 2.37 states/eV/f.u.



Entry 6:
VASP calculation (GGA-PBE) on an optimized crystal structure of Sc2PaBeN4.

Geometry as extended XYZ:
```
16
Lattice="3.197 0.000 0.000 -1.599 5.261 0.000 0.000 0.000 10.730" Properties=species:S:1:pos:R:3 pbc="T T T"
Pa 1.599 4.172 2.683
N 0.000 2.845 1.361
Sc 1.599 1.393 0.545
N 0.000 4.535 8.048
Sc 0.000 3.868 10.185
N 1.599 2.416 6.727
N 0.000 0.000 5.365
Be 0.000 1.777 2.683
N 0.000 2.845 4.004
Pa 0.000 1.089 8.048
Sc 0.000 3.868 5.911
Be 1.599 3.484 8.048
N 1.599 0.726 2.683
Sc 1.599 1.393 4.820
N 0.000 0.000 0.000
N 1.599 2.416 9.369
```

Summary:
* SG: Cmcm, No. 63
* DOS at the Fermi energy: 3.15 states/eV/f.u.



Number 1: uncorrected formation energy -1.22 eV/atom. Number 2: uncorrected formation energy -1.34 eV/atom. Number 3: uncorrected formation energy -0.89 eV/atom. Number 4: uncorrected formation energy -1.41 eV/atom. Number 5: uncorrected formation energy -1.46 eV/atom. Number 6: uncorrected formation energy -1.59 eV/atom.